The following is a GGA+U calculation of a relaxed structure of BaYFe2O5, from the Alexandria database.

## Properties
uncorrected energy	-7.22	eV/atom

a = 3.9829 Å, b = 3.9831 Å, c = 7.6149 Å
α = 90.00°, β = 90.00°, γ = 90.00°
Site moments in Bohr magnetons follow the coordinates.
Positions (direct):
O  0.5000  0.0000  0.3138  0.14
O  0.5000  0.0000  0.6862  0.14
O  0.0000  0.5000  0.3138  0.14
O  0.0000  0.5000  0.6862  0.14
O  0.5000  0.5000  0.0000  0.20
Fe  0.5000  0.5000  0.2684  4.08
Fe  0.5000  0.5000  0.7316  4.08
Y  0.0000  0.0000  0.5000  -0.01
Ba  0.0000  0.0000  0.0000  -0.01